Density functional theory data (PBE) for crystalline Sr2HfHg at its relaxed geometry.

M_tot (μB per formula unit): 0.1
Energy (eV per atom): -2.954

```
data_Sr2HfHg
_chemical_formula_sum 'Sr8 Hf4 Hg4'
_cell_length_a 7.842
_cell_length_b 7.842
_cell_length_c 7.842
_cell_angle_alpha 90.00
_cell_angle_beta 90.00
_cell_angle_gamma 90.00
_space_group_name_H-M_alt 'F -4 3 m'
_space_group_IT_number 216
_space_group_name_Hall 'F -4 2 3'
loop_
_atom_site_label
_atom_site_type_symbol
_atom_site_fract_x
_atom_site_fract_y
_atom_site_fract_z
Sr1 Sr 0.000 0.000 0.000
Sr2 Sr 0.250 0.250 0.250
Hf1 Hf 0.250 0.250 0.750
Hg1 Hg 0.000 0.000 0.500
```